Version w
An optimized crystal structure of VNiPt4, computed with GGA-PBE.

abc: 8.8419 2.7419 7.3626
angles: 90.00 90.00 90.00
Closest atoms and distances in Å follow each position.
Sites, in units of the cell vectors:
V  0.2500  0.0000  0.1859  1 Ni 2.49, 8 Pt 2.58-2.75, 2 V 2.74
V  0.7500  0.0000  0.8141  1 Ni 2.49, 8 Pt 2.58-2.75, 2 V 2.74
Ni  0.2500  0.0000  0.5243  1 V 2.49, 2 Ni 2.74, 4 Pt 2.77
Ni  0.7500  0.0000  0.4757  1 V 2.49, 2 Ni 2.74, 4 Pt 2.77
Pt  0.0000  0.0000  0.0000  2 V 2.60, 10 Pt 2.74-2.79
Pt  0.0327  0.5000  0.3273  2 V 2.58, 6 Pt 2.61-2.86, 2 Ni 2.77
Pt  0.2500  0.5000  0.8621  8 Pt 2.74-2.86, 2 V 2.75, 2 Ni 2.84
Pt  0.4673  0.5000  0.3273  2 V 2.58, 6 Pt 2.61-2.86, 2 Ni 2.77
Pt  0.5000  0.0000  0.0000  2 V 2.60, 10 Pt 2.74-2.79
Pt  0.5327  0.5000  0.6727  2 V 2.58, 6 Pt 2.61-2.86, 2 Ni 2.77
Pt  0.7500  0.5000  0.1379  8 Pt 2.74-2.86, 2 V 2.75, 2 Ni 2.84
Pt  0.9673  0.5000  0.6727  2 V 2.58, 6 Pt 2.61-2.86, 2 Ni 2.77

Output
Space-group type ... Pmma (51)



Version x
An optimized crystal structure of VNiPt4, computed with GGA-PBE.

abc: 4.6736 8.4072 4.6657
angles: 90.00 108.05 90.00
Closest atoms and distances in Å follow each position.
Sites, in units of the cell vectors:
V  0.0000  0.0000  0.0000  10 Pt 2.69-2.85, 2 Ni 2.74
V  0.5000  0.5000  0.0000  10 Pt 2.69-2.85, 2 Ni 2.74
Ni  0.0000  0.5000  0.5000  10 Pt 2.69-2.86, 2 V 2.74
Ni  0.5000  0.0000  0.5000  10 Pt 2.69-2.86, 2 V 2.74
Pt  0.0000  0.1595  0.5000  7 Pt 2.68-2.79, 2 V 2.69, 3 Ni 2.69-2.86
Pt  0.0000  0.3394  0.0000  2 Ni 2.70, 3 V 2.70-2.85, 7 Pt 2.70-2.78
Pt  0.0000  0.6606  0.0000  2 Ni 2.70, 3 V 2.70-2.85, 7 Pt 2.70-2.78
Pt  0.0000  0.8405  0.5000  7 Pt 2.68-2.79, 2 V 2.69, 3 Ni 2.69-2.86
Pt  0.5000  0.1606  0.0000  2 Ni 2.70, 3 V 2.70-2.85, 7 Pt 2.70-2.78
Pt  0.5000  0.3405  0.5000  7 Pt 2.68-2.79, 2 V 2.69, 3 Ni 2.69-2.86
Pt  0.5000  0.6595  0.5000  7 Pt 2.68-2.79, 2 V 2.69, 3 Ni 2.69-2.86
Pt  0.5000  0.8394  0.0000  2 Ni 2.70, 3 V 2.70-2.85, 7 Pt 2.70-2.78

Output
Space-group type ... C2/m (12)



Which one sits at the bottom of the stability order? version w does.